1.
Here is crystalline LiMn4Ni at its relaxed geometry from Alexandria. Energies are from PBE.

Output
mass density = 6.8 g/cm³
energy relative to the elements = 0.3738 eV/atom
space group = No. 216
uncorrected energy = -7.022 eV per atom
total magnetization = 2.52 μB/f.u.

Cell lengths 4.624, 4.624, 4.624 Å; angles 60.00, 60.00, 60.00 degrees
Positions (direct):
Li 0.000 0.000 0.000
Mn 0.375 0.375 0.375
Mn 0.375 0.375 0.876
Mn 0.375 0.876 0.375
Mn 0.876 0.375 0.375
Ni 0.750 0.750 0.750

2.
Here is crystalline LuRh3 at its relaxed geometry from Alexandria. Energies are from PBE.

Output
mass density = 12.5 g/cm³
energy relative to the elements = -0.5944 eV/atom
space group = No. 221
uncorrected energy = -7.238 eV per atom
total magnetization = 0.00 μB/f.u.

Cell lengths 4.002, 4.002, 4.002 Å; angles 90.00, 90.00, 90.00 degrees
Positions (direct):
Lu 0.000 0.000 0.000
Rh 0.000 0.500 0.500
Rh 0.500 0.000 0.500
Rh 0.500 0.500 0.000

Look up the energy relative to the elements of the first one.
0.3738 eV/atom

total magnetization of number 1 (LiMn4Ni)?
2.52 μB/f.u.

What is the uncorrected energy in the second record?
-7.238 eV per atom

What did the second record say?
Here is crystalline LuRh3 at its relaxed geometry from Alexandria. Energies are from PBE.

Output
mass density = 12.5 g/cm³
energy relative to the elements = -0.5944 eV/atom
space group = No. 221
uncorrected energy = -7.238 eV per atom
total magnetization = 0.00 μB/f.u.

Cell lengths 4.002, 4.002, 4.002 Å; angles 90.00, 90.00, 90.00 degrees
Positions (direct):
Lu 0.000 0.000 0.000
Rh 0.000 0.500 0.500
Rh 0.500 0.000 0.500
Rh 0.500 0.500 0.000